Computed, not measured: crystalline HoLuNi2 at its relaxed geometry at the PBE level of DFT.

Unit cell a=6.665 b=6.665 c=6.665 alpha=90.00 beta=90.00 gamma=90.00
Space group Fm-3m (No. 225)
Asymmetric unit:
Ho  0.000  0.000  0.000 x4
Lu  0.000  0.000  0.500 x4
Ni  0.250  0.250  0.250 x8

* calculated formation energy: -448 meV per atom
* total moment: 0.0 μB per cell
* density of states at the Fermi level: 0.877 states/eV per atom
* DFT total energy: -89.81 eV/cell

Computed, not measured: crystalline HoLu3Ni at its relaxed geometry at the PBE level of DFT.

Unit cell a=5.191 b=5.191 c=5.191 alpha=90.00 beta=90.00 gamma=90.00
Space group Pm-3m (No. 221)
Asymmetric unit:
Ho  0.000  0.000  0.000 x1
Lu  0.000  0.500  0.500 x3
Ni  0.500  0.500  0.500 x1

* calculated formation energy: -80 meV per atom
* total moment: 0.0 μB per cell
* density of states at the Fermi level: 1.537 states/eV per atom
* DFT total energy: -24.32 eV/cell

Repeat the first record exactly.
Computed, not measured: crystalline HoLuNi2 at its relaxed geometry at the PBE level of DFT.

Unit cell a=6.665 b=6.665 c=6.665 alpha=90.00 beta=90.00 gamma=90.00
Space group Fm-3m (No. 225)
Asymmetric unit:
Ho  0.000  0.000  0.000 x4
Lu  0.000  0.000  0.500 x4
Ni  0.250  0.250  0.250 x8

* calculated formation energy: -448 meV per atom
* total moment: 0.0 μB per cell
* density of states at the Fermi level: 0.877 states/eV per atom
* DFT total energy: -89.81 eV/cell

Among the records above, which one has the highest density of states at the Fermi level?
HoLu3Ni